1.
This record from the Alexandria database describes crystalline CaSn2HPb at its relaxed geometry. The functional is PBE-GGA.

Lattice parameters (Å, degrees): 5.003 5.003 4.665 90.00 90.00 90.00
Space group P4/mmm (No. 123)
Symmetry-distinct sites (fractional):
1 Ca 0.000 0.000 0.000 [1 per cell]
2 Sn 0.000 0.500 0.500 [2 per cell]
3 H 0.000 0.000 0.500 [1 per cell]
4 Pb 0.500 0.500 0.000 [1 per cell]

---

2.
This record from the Alexandria database describes crystalline CaY2HPb at its relaxed geometry. The functional is PBE-GGA.

Lattice parameters (Å, degrees): 4.988 4.988 5.095 90.00 90.00 90.00
Space group P4/mmm (No. 123)
Symmetry-distinct sites (fractional):
1 Ca 0.000 0.000 0.000 [1 per cell]
2 Y 0.000 0.500 0.500 [2 per cell]
3 H 0.000 0.000 0.500 [1 per cell]
4 Pb 0.500 0.500 0.000 [1 per cell]

---

3.
This record from the Alexandria database describes crystalline CaZr2HPb at its relaxed geometry. The functional is PBE-GGA.

Lattice parameters (Å, degrees): 4.493 4.493 4.984 90.00 90.00 90.00
Space group P4/mmm (No. 123)
Symmetry-distinct sites (fractional):
1 Ca 0.000 0.000 0.000 [1 per cell]
2 Zr 0.000 0.500 0.500 [2 per cell]
3 H 0.000 0.000 0.500 [1 per cell]
4 Pb 0.500 0.500 0.000 [1 per cell]

---

Record order is preserved below.
Calculated density: 6.9; 5.6; 7.1 Mg/m³
Record order is preserved below.
Uncorrected energy: -3.56; -4.73; -5.40 eV/atom